Material: SrLi2Te
Method: DFT, PBEsol
State: optimized geometry

Structure (POSCAR):
```
SrLi2Te
1.0
-2.342 2.342 4.834
2.342 -2.342 4.834
2.342 2.342 -4.834
Sr Li Te
1 2 1
Direct
0.000 0.000 0.000
0.250 0.750 0.500
0.500 0.500 0.000
0.750 0.250 0.500
```

Properties
DOS at the Fermi energy: 2.2 states/eV/f.u.
Uncorrected energy: -2.827 eV per atom
Space group: No. 119
Crystal system: tetragonal